Na3CF: optimized geometry, PBE-GGA.

Unit cell a=4.421 b=4.421 c=4.421 alpha=90.00 beta=90.00 gamma=90.00
Positions (direct):
Na 0.000 0.000 0.500
Na 0.000 0.500 0.000
Na 0.500 0.000 0.000
C 0.500 0.500 0.500
F 0.000 0.000 0.000

Results
E_tot = -3.174 eV per atom
Energy relative to the elements, uncorrected = -0.163 eV per atom
V = 86 Å³/cell
N(E_F) = 1.35 states/eV per cell
Energy above the lowest structure with this stoichiometry = 0.00 eV per formula unit